LiAlMo2O6 after structural relaxation, computed with GGA+U.

Unit cell a=5.1183 b=5.1455 c=5.5775 alpha=63.49 beta=62.73 gamma=60.99
Space group P1 (No. 1)
Symmetry-distinct sites (fractional):
Li 0.0000 0.0000 0.0000 [1 per cell]
Al 0.4538 0.4694 0.6015 [1 per cell]
Mo 0.2603 0.2736 0.1961 [1 per cell]
Mo 0.7695 0.7813 0.6795 [1 per cell]
O 0.0748 0.3794 0.8873 [1 per cell]
O 0.1867 0.8414 0.4222 [1 per cell]
O 0.3825 0.6585 0.8801 [1 per cell]
O 0.5206 0.1988 0.4227 [1 per cell]
O 0.6484 0.0707 0.8907 [1 per cell]
O 0.8436 0.5257 0.4246 [1 per cell]

Total DFT energy (no corrections): -7.010 eV/atom
V: 109.34 Å³ per cell
Density: 4.9 g/cm3